Density functional theory data (PBE+U) for a relaxed structure of CaFeF3.

Computed properties:
* theoretical density: 3.0 Mg/m³
* symmetry: No. 221
* raw total energy: -5.00 eV/atom
* calculated volume: 17.050 Å³ per atom

abc: 4.4011 4.4011 4.4011
angles: 90.00 90.00 90.00
With the nearest neighbours (Å) after each atom.
Fractional coordinates of all 5 atoms:
F  0.0000  0.0000  0.5000  2 Ca 2.20
F  0.0000  0.5000  0.0000  2 Ca 2.20
F  0.5000  0.0000  0.0000  2 Ca 2.20
Ca  0.0000  0.0000  0.0000  6 F 2.20
Fe  0.5000  0.5000  0.5000  12 F 3.11